(1)
# Tb3Nd8Sm4, optimized geometry, DFT GGA-PBE
data_Tb3Nd8Sm4
_chemical_formula_sum 'Tb3 Nd8 Sm4'
_symmetry_space_group_name_H-M 'P 1'
_symmetry_Int_Tables_number 1
_symmetry_space_group_name_Hall 'P 1'
_cell_length_a 9.337
_cell_length_b 9.337
_cell_length_c 6.921
_cell_angle_alpha 111.55
_cell_angle_beta 111.55
_cell_angle_gamma 82.28
loop_
_atom_site_label
_atom_site_type_symbol
_atom_site_fract_x
_atom_site_fract_y
_atom_site_fract_z
_atom_site_occupancy
Tb1 Tb 0.000 0.000 0.000 1
Tb2 Tb 0.000 0.500 0.500 1
Tb3 Tb 0.500 0.000 0.500 1
Nd1 Nd 0.202 0.202 0.694 1
Nd2 Nd 0.203 0.797 0.500 1
Nd3 Nd 0.252 0.252 0.242 1
Nd4 Nd 0.252 0.748 0.000 1
Nd5 Nd 0.748 0.252 0.000 1
Nd6 Nd 0.748 0.748 0.758 1
Nd7 Nd 0.797 0.203 0.500 1
Nd8 Nd 0.798 0.798 0.306 1
Sm1 Sm 0.000 0.500 0.000 1
Sm2 Sm 0.500 0.000 0.000 1
Sm3 Sm 0.500 0.500 0.000 1
Sm4 Sm 0.500 0.500 0.500 1
# - space group = C2/m
# - DFT total energy (eV/atom) = -4.4098
# - DFT formation energy (meV per atom) = 318
# - E above lowest polymorph (meV/atom) = 187
# - M_tot (μB per formula unit) = 0.00
# - DOS(E_F) (states/eV per cell) = 24.3

(2)
# K3Rb7Hg2, optimized geometry, DFT GGA-PBE
data_K3Rb7Hg2
_chemical_formula_sum 'K3 Rb7 Hg2'
_symmetry_space_group_name_H-M 'P 1'
_symmetry_Int_Tables_number 1
_symmetry_space_group_name_Hall 'P 1'
_cell_length_a 20.099
_cell_length_b 20.099
_cell_length_c 6.268
_cell_angle_alpha 90.00
_cell_angle_beta 90.00
_cell_angle_gamma 160.91
loop_
_atom_site_label
_atom_site_type_symbol
_atom_site_fract_x
_atom_site_fract_y
_atom_site_fract_z
_atom_site_occupancy
K1 K 0.000 0.000 0.000 1
K2 K 0.202 0.798 0.500 1
K3 K 0.798 0.202 0.500 1
Rb1 Rb 0.094 0.906 0.500 1
Rb2 Rb 0.294 0.706 0.000 1
Rb3 Rb 0.402 0.598 0.000 1
Rb4 Rb 0.500 0.500 0.500 1
Rb5 Rb 0.598 0.402 0.000 1
Rb6 Rb 0.706 0.294 0.000 1
Rb7 Rb 0.906 0.094 0.500 1
Hg1 Hg 0.152 0.848 0.000 1
Hg2 Hg 0.848 0.152 0.000 1
# - space group = Cmmm
# - DFT total energy (eV/atom) = -0.9454
# - DFT formation energy (meV per atom) = -56
# - M_tot (μB per formula unit) = 0.00
# - DOS(E_F) (states/eV per cell) = 11.4

(3)
# TlAg2Sb2, optimized geometry, DFT GGA-PBE
data_TlAg2Sb2
_chemical_formula_sum 'Tl2 Ag4 Sb4'
_symmetry_space_group_name_H-M 'P 1'
_symmetry_Int_Tables_number 1
_symmetry_space_group_name_Hall 'P 1'
_cell_length_a 4.860
_cell_length_b 4.860
_cell_length_c 11.538
_cell_angle_alpha 90.00
_cell_angle_beta 90.00
_cell_angle_gamma 87.33
loop_
_atom_site_label
_atom_site_type_symbol
_atom_site_fract_x
_atom_site_fract_y
_atom_site_fract_z
_atom_site_occupancy
Tl1 Tl 0.202 0.798 0.750 1
Tl2 Tl 0.798 0.202 0.250 1
Ag1 Ag 0.207 0.207 0.000 1
Ag2 Ag 0.207 0.207 0.500 1
Ag3 Ag 0.793 0.793 0.000 1
Ag4 Ag 0.793 0.793 0.500 1
Sb1 Sb 0.299 0.701 0.126 1
Sb2 Sb 0.299 0.701 0.374 1
Sb3 Sb 0.701 0.299 0.626 1
Sb4 Sb 0.701 0.299 0.874 1
# - space group = Cmcm
# - DFT total energy (eV/atom) = -3.2341
# - formation energy without anion corrections (meV per atom) = 29
# - E above lowest polymorph (meV/atom) = 0
# - M_tot (μB per formula unit) = 0.00
# - DOS(E_F) (states/eV per cell) = 3.0

(4)
# MgPaGa6, optimized geometry, DFT GGA-PBE
data_MgPaGa6
_chemical_formula_sum 'Mg1 Pa1 Ga6'
_symmetry_space_group_name_H-M 'P 1'
_symmetry_Int_Tables_number 1
_symmetry_space_group_name_Hall 'P 1'
_cell_length_a 6.106
_cell_length_b 6.106
_cell_length_c 4.123
_cell_angle_alpha 90.00
_cell_angle_beta 90.00
_cell_angle_gamma 90.13
loop_
_atom_site_label
_atom_site_type_symbol
_atom_site_fract_x
_atom_site_fract_y
_atom_site_fract_z
_atom_site_occupancy
Mg1 Mg 0.000 0.000 0.000 1
Pa1 Pa 0.500 0.500 0.000 1
Ga1 Ga 0.000 0.500 0.000 1
Ga2 Ga 0.240 0.240 0.500 1
Ga3 Ga 0.241 0.759 0.500 1
Ga4 Ga 0.500 0.000 0.000 1
Ga5 Ga 0.759 0.241 0.500 1
Ga6 Ga 0.760 0.760 0.500 1
# - space group = Cmmm
# - DFT total energy (eV/atom) = -3.8348
# - DFT formation energy (meV per atom) = -178
# - M_tot (μB per formula unit) = 0.00
# - DOS(E_F) (states/eV per cell) = 5.5

- What is the DFT total energy in the second record?
  -0.9454 eV/atom

Repeat the first record exactly.
# Tb3Nd8Sm4, optimized geometry, DFT GGA-PBE
data_Tb3Nd8Sm4
_chemical_formula_sum 'Tb3 Nd8 Sm4'
_symmetry_space_group_name_H-M 'P 1'
_symmetry_Int_Tables_number 1
_symmetry_space_group_name_Hall 'P 1'
_cell_length_a 9.337
_cell_length_b 9.337
_cell_length_c 6.921
_cell_angle_alpha 111.55
_cell_angle_beta 111.55
_cell_angle_gamma 82.28
loop_
_atom_site_label
_atom_site_type_symbol
_atom_site_fract_x
_atom_site_fract_y
_atom_site_fract_z
_atom_site_occupancy
Tb1 Tb 0.000 0.000 0.000 1
Tb2 Tb 0.000 0.500 0.500 1
Tb3 Tb 0.500 0.000 0.500 1
Nd1 Nd 0.202 0.202 0.694 1
Nd2 Nd 0.203 0.797 0.500 1
Nd3 Nd 0.252 0.252 0.242 1
Nd4 Nd 0.252 0.748 0.000 1
Nd5 Nd 0.748 0.252 0.000 1
Nd6 Nd 0.748 0.748 0.758 1
Nd7 Nd 0.797 0.203 0.500 1
Nd8 Nd 0.798 0.798 0.306 1
Sm1 Sm 0.000 0.500 0.000 1
Sm2 Sm 0.500 0.000 0.000 1
Sm3 Sm 0.500 0.500 0.000 1
Sm4 Sm 0.500 0.500 0.500 1
# - space group = C2/m
# - DFT total energy (eV/atom) = -4.4098
# - DFT formation energy (meV per atom) = 318
# - E above lowest polymorph (meV/atom) = 187
# - M_tot (μB per formula unit) = 0.00
# - DOS(E_F) (states/eV per cell) = 24.3

- Which of these has the lowest DOS(E_F)?
  TlAg2Sb2

- DFT total energy of number 3 (TlAg2Sb2)?
  -3.2341 eV/atom